Entry from the Alexandria database: an optimized crystal structure of FeSbI2O (PBE with a Hubbard U).

CIF file:
```
data_FeSbI2O
_chemical_formula_sum 'Fe1 Sb1 I2 O1'
_space_group_name_H-M_alt 'P 1'
_space_group_IT_number 1
_cell_length_a 6.291
_cell_length_b 6.291
_cell_length_c 4.001
_cell_angle_alpha 90.00
_cell_angle_beta 90.00
_cell_angle_gamma 90.00
loop_
_space_group_symop_operation_xyz
'x,y,z'
loop_
_atom_site_label
_atom_site_fract_x
_atom_site_fract_y
_atom_site_fract_z
Fe1 0.000 0.000 0.000
Sb1 0.500 0.500 0.000
I1 0.000 0.500 0.500
I2 0.500 0.000 0.500
O1 0.500 0.500 0.500
```

ΔE to the lowest computed polymorph in meV/atom: 522
Total magnetization in μB per formula unit: 4.63
DFT total energy in eV per atom: -3.140